The following is a DFT calculation (PBE) of a geometry-optimized Pr4I5N2 structure.

Cell and atoms, written as POSCAR:
```
Pr4I5N2
1.0
-1.997 4.422 10.061
1.997 -4.422 10.061
1.997 4.422 -10.061
Pr I N
4 5 2
direct
0.147 0.147 0.000 Pr
0.186 0.500 0.686 Pr
0.814 0.500 0.314 Pr
0.853 0.853 0.000 Pr
0.121 0.340 0.781 I
0.441 0.660 0.781 I
0.500 0.000 0.500 I
0.559 0.340 0.219 I
0.879 0.660 0.219 I
0.034 0.034 0.000 N
0.966 0.966 0.000 N
```

## Properties
Uncorrected energy (eV per atom): -5.133
E_form (uncorrected) (eV/atom): -1.18
E above lowest polymorph (meV per atom): 135.1
SG: Immm
M_tot (Bohr magnetons per cell): 0.00
Fermi-level density of states (states/eV/cell): 3.90